# BeCdPd3, optimized geometry, DFT PBE
data_BeCdPd3
_cell_length_a 5.638
_cell_length_b 5.652
_cell_length_c 6.276
_cell_angle_alpha 108.02
_cell_angle_beta 100.06
_cell_angle_gamma 117.34
_space_group_name_H-M_alt 'P 1'
_space_group_IT_number 1
loop_
_space_group_symop_operation_xyz
'x,y,z'
loop_
_atom_site_label
_atom_site_fract_x
_atom_site_fract_y
_atom_site_fract_z
_atom_site_occupancy
Be1 0.000 0.000 0.000 1
Be2 0.124 0.360 0.476 1
Cd1 0.355 0.816 0.159 1
Cd2 0.504 0.241 0.717 1
Pd1 0.020 0.242 0.766 1
Pd2 0.423 0.387 0.273 1
Pd3 0.536 0.765 0.755 1
Pd4 0.850 0.324 0.166 1
Pd5 0.898 0.862 0.280 1
Pd6 0.988 0.692 0.661 1
# Total DFT energy (no corrections), eV per cell: -43.41